Record 1
A geometry-optimized GdHo2In3CuPd2 structure, computed with PBE.

Properties
DFT total energy = -4.71 eV/atom
SG = Amm2 (38)
spin magnetization = 0.01 μB/cell
calculated density = 9.4 g/cm³
calculated volume = 195.80 Å³ per cell

Geometry as extended XYZ:
```
9
Lattice="3.8534 0.0000 0.0000 0.0000 6.6406 3.8258 0.0000 -6.6406 3.8258" Properties=species:S:1:pos:R:3 pbc="T T T"
Gd 0.0000 0.0000 0.0000
Ho 0.0000 -2.7214 4.7037
Ho 0.0000 2.7214 4.7037
In 1.9267 -1.6776 2.1783
In 1.9267 1.6776 2.1783
In 1.9267 0.0000 5.0576
Cu 0.0000 0.0000 3.1434
Pd 1.9267 -4.4114 3.1339
Pd 1.9267 4.4114 3.1339
```

Record 2
A geometry-optimized LiSmPO structure, computed with PBE.

Properties
SG = Pmc2_1 (26)
spin magnetization = 0.00 μB/cell
energy above the lowest structure with this stoichiometry = 0.113 eV per atom
calculated density = 4.3 g/cm³
calculated volume = 156.70 Å³ per cell

Geometry as extended XYZ:
```
8
Lattice="3.6006 0.0000 0.0000 0.0000 7.5618 0.0000 0.0000 0.0000 5.7555" Properties=species:S:1:pos:R:3 pbc="T T T"
Li 0.0000 0.6513 0.0000
Li 0.0000 6.9105 2.8777
Sm 1.8003 2.2158 2.2245
Sm 1.8003 5.3460 5.1022
P 1.8003 2.4832 5.0801
P 1.8003 5.0786 2.2024
O 0.0000 1.0131 1.9507
O 0.0000 6.5487 4.8284
```

Record 3
A geometry-optimized CuHgGeAu structure, computed with PBE.

Properties
SG = F-43m (216)
energy above the lowest structure with this stoichiometry = 0.000 eV per atom
calculated density = 12.1 g/cm³
calculated volume = 73.14 Å³ per cell

Geometry as extended XYZ:
```
4
Lattice="0.0000 3.3192 3.3192 3.3192 0.0000 3.3192 3.3192 3.3192 0.0000" Properties=species:S:1:pos:R:3 pbc="T T T"
Cu 0.0000 0.0000 0.0000
Hg 1.6596 1.6596 1.6596
Ge 4.9788 4.9788 4.9788
Au 3.3192 3.3192 3.3192
```

Record 4
A geometry-optimized NaHfFeSb structure, computed with PBE.

Properties
SG = F-43m (216)
spin magnetization = 1.65 μB/cell
energy above the lowest structure with this stoichiometry = 0.101 eV per atom
calculated density = 8.0 g/cm³
calculated volume = 78.41 Å³ per cell

Geometry as extended XYZ:
```
4
Lattice="0.0000 3.3971 3.3971 3.3971 0.0000 3.3971 3.3971 3.3971 0.0000" Properties=species:S:1:pos:R:3 pbc="T T T"
Na 0.0000 0.0000 0.0000
Hf 3.3971 3.3971 3.3971
Fe 1.6985 1.6985 1.6985
Sb 5.0956 5.0956 5.0956
```

Record 5
A geometry-optimized Nd2Ga2Ge structure, computed with PBE.

Properties
DFT total energy = -4.79 eV/atom
SG = Cmcm (63)
spin magnetization = 0.06 μB/cell
calculated density = 7.0 g/cm³
calculated volume = 239.07 Å³ per cell

Geometry as extended XYZ:
```
10
Lattice="2.0567 -13.1360 0.0000 2.0567 13.1360 0.0000 0.0000 0.0000 4.4245" Properties=species:S:1:pos:R:3 pbc="T T T"
Nd 2.0567 11.1901 3.3184
Nd 2.0567 5.3357 1.1061
Nd 2.0567 -5.3357 3.3184
Nd 2.0567 -11.1901 1.1061
Ga 2.0567 3.1016 3.3184
Ga 2.0567 0.5989 3.3184
Ga 2.0567 -0.5989 1.1061
Ga 2.0567 -3.1016 1.1061
Ge 2.0567 8.4845 1.1061
Ge 2.0567 -8.4845 3.3184
```

Record 6
A geometry-optimized RbCuPtSe2S structure, computed with PBE.

Properties
DFT total energy = -4.10 eV/atom
SG = Cmcm (63)
spin magnetization = 0.06 μB/cell
calculated density = 6.2 g/cm³
calculated volume = 286.75 Å³ per cell

Geometry as extended XYZ:
```
12
Lattice="1.9206 -7.2955 0.0000 1.9206 7.2955 0.0000 0.0000 0.0000 10.2327" Properties=species:S:1:pos:R:3 pbc="T T T"
Rb 1.9206 3.7552 7.6745
Rb 1.9206 -3.7552 2.5582
Cu 1.9206 6.7342 2.5582
Cu 1.9206 -6.7342 7.6745
Pt 1.9206 0.0000 0.0000
Pt 1.9206 0.0000 5.1163
Se 1.9206 5.6662 0.3661
Se 1.9206 5.6662 4.7502
Se 1.9206 -5.6662 5.4824
Se 1.9206 -5.6662 9.8666
S 1.9206 0.6575 2.5582
S 1.9206 -0.6575 7.6745
```

- What is the calculated density in the sixth record?
  6.2 g/cm³

- The lowest calculated volume belongs to which entry?
  CuHgGeAu